# 1
VASP calculation (PBE) on a relaxed structure of Ac2CdOsO6.

The structure in extended XYZ format:
```
10
Lattice="-2.6479 3.5862 3.6160 2.5726 -2.8686 4.7329 3.4713 2.0057 -4.6005" Properties=species:S:1:pos:R:3 pbc="T T T"
Ac 3.0203 -0.1413 2.2174
O 1.8246 0.8697 0.2813
Os 0.8239 5.5900 -0.9821
O 0.4999 0.4177 6.4166
Cd 3.4343 2.3627 -0.4236
Ac 0.3768 2.8610 1.5357
O 1.6862 3.8597 -0.3310
O 1.7110 -1.1401 4.0841
O 1.5722 1.8502 3.4720
O 2.8971 2.3013 -2.6632
```

Values from the calculation:
SG	P-1
E_form (uncorrected)	-2.13	eV per atom
uncorrected energy	-71.4	eV/cell

---

# 2
VASP calculation (PBE) on a relaxed structure of AcCdPO6.

The structure in extended XYZ format:
```
9
Lattice="-4.8363 1.5625 -0.4883 -0.2411 -2.2572 -4.8351 -1.3478 -2.8177 4.3331" Properties=species:S:1:pos:R:3 pbc="T T T"
O -4.5510 -2.6722 -0.7246
O -3.9615 -1.8861 -4.0489
O -1.8714 -0.8388 -0.2891
Cd -3.0282 -1.6628 -2.0232
O -1.6445 -1.2114 -3.7280
P -2.4181 0.7812 -0.2441
O -2.7002 -3.8649 -1.7630
O -3.4403 0.4966 -1.5857
Ac -0.9789 -2.6309 1.2770
```

Values from the calculation:
SG	P312
E_form (uncorrected)	-1.84	eV per atom
uncorrected energy	-56.8	eV/cell

---

# 3
VASP calculation (PBE) on a relaxed structure of Ac2CdPO6.

The structure in extended XYZ format:
```
10
Lattice="-0.8170 -4.0277 -2.3749 1.8684 -3.0207 4.4802 -5.3130 -0.1637 2.1054" Properties=species:S:1:pos:R:3 pbc="T T T"
O -1.7687 -1.8208 3.1580
O -1.2837 -3.5425 -0.3798
O -0.2371 -1.1688 -0.6891
Ac -2.6772 -0.1840 0.9925
P -0.5102 -2.5152 -1.4830
Ac 0.9135 -1.6124 2.1799
Cd -2.1676 -3.7877 1.9983
O -3.3372 -5.4408 3.5462
O -0.1698 -5.3432 2.2910
O -4.4510 -3.6401 0.8753
```

Values from the calculation:
SG	P4mm
E_form (uncorrected)	-2.36	eV per atom
uncorrected energy	-67.9	eV/cell

---

# 4
VASP calculation (PBE) on a relaxed structure of Ac2CdPO8.

The structure in extended XYZ format:
```
12
Lattice="5.4828 0.0000 0.0000 -2.7414 4.7482 0.0000 0.0000 0.0000 6.3034" Properties=species:S:1:pos:R:3 pbc="T T T"
O -1.5279 4.0477 0.9988
P 0.0000 0.0000 0.0000
Cd 0.0000 0.0000 3.1517
O 2.7414 1.5827 3.2614
Ac 2.7414 1.5827 1.0271
Ac 0.0000 3.1655 5.2763
O 4.2693 0.7006 5.3046
O 0.0000 3.1655 3.0420
O 2.7414 3.3471 5.3046
O 1.2135 0.7006 5.3046
O 1.5279 4.0477 0.9988
O 0.0000 1.4012 0.9988
```

Values from the calculation:
SG	P-3m1
E_form (uncorrected)	-1.79	eV per atom
uncorrected energy	-75.7	eV/cell

---

# 5
VASP calculation (PBE) on a relaxed structure of AcCdP2O8.

The structure in extended XYZ format:
```
12
Lattice="-2.4497 4.6622 0.5382 -2.0996 -3.7525 -3.0883 -3.8698 -2.7184 5.9339" Properties=species:S:1:pos:R:3 pbc="T T T"
Cd -1.9349 -1.3592 2.9669
O -6.1194 -2.0098 2.0581
O -3.4826 2.4410 1.5804
O -3.9320 -2.4411 3.2870
O -4.9366 -4.2496 1.8034
O -6.0319 -3.6278 3.9712
P -5.2387 -3.0706 2.7549
Ac 0.0000 0.0000 0.0000
O -4.4872 0.6325 0.0968
O -2.3873 1.8192 -0.5874
O -2.2997 0.2011 1.3257
P -3.1805 1.2620 0.6289
```

Values from the calculation:
SG	P-3m1
E_form (uncorrected)	-2.28	eV per atom
uncorrected energy	-82.9	eV/cell

---

# 6
VASP calculation (PBE) on a relaxed structure of AcPaCdO5.

The structure in extended XYZ format:
```
16
Lattice="6.4083 0.0765 -0.1817 -1.7975 6.1515 -0.1817 -2.1413 -2.8924 7.5422" Properties=species:S:1:pos:R:3 pbc="T T T"
O 1.1007 1.9172 6.4821
Cd -0.8500 2.0918 5.4749
O -0.8453 3.7873 4.0937
O -0.1136 0.2769 4.4678
O 2.5831 3.0586 2.7110
O 4.9398 1.7432 0.3226
Ac 0.2791 3.4947 1.7038
O 3.3148 -0.4517 3.0851
Pa -1.0707 -1.4462 3.7711
O -1.7648 5.0078 1.7038
O -2.4704 1.5923 6.8562
Ac 2.1903 -0.1591 5.4749
Cd 3.3194 1.2438 1.7038
Pa 0.0000 0.0000 0.0000
O 1.3687 1.4183 0.6967
O 4.2342 -1.6723 5.4749
```

Values from the calculation:
SG	C2/c
E_form (uncorrected)	-2.89	eV per atom
uncorrected energy	-124.9	eV/cell

---

# 7
VASP calculation (PBE) on a relaxed structure of AcPaCdO6.

The structure in extended XYZ format:
```
9
Lattice="-4.4575 1.9395 0.9288 -1.5945 -1.0009 -5.5623 -0.9278 -4.0974 4.1030" Properties=species:S:1:pos:R:3 pbc="T T T"
O -1.9223 -1.2857 -0.0694
O -5.0314 -1.9945 -0.0820
Pa -1.1501 -3.0652 0.8812
O -1.7929 -2.3740 2.8243
Cd -2.2288 0.9697 0.4644
Ac -3.6011 -1.0633 -1.8761
O -3.0166 -4.1080 0.5725
O -4.7558 -2.7874 2.8963
O -3.7539 -0.0231 1.9320
```

Values from the calculation:
SG	P312
E_form (uncorrected)	-2.31	eV per atom
uncorrected energy	-65.0	eV/cell

---

# 8
VASP calculation (PBE) on a relaxed structure of Ac2CdPbO5.

The structure in extended XYZ format:
```
18
Lattice="-0.3169 -4.7003 4.4413 4.5945 -4.0304 -3.9376 5.6234 2.9590 3.5328" Properties=species:S:1:pos:R:3 pbc="T T T"
O 5.9617 -3.6364 -0.9567
O 3.9393 -2.1352 4.9930
O 2.3515 -2.3121 0.1873
O 4.0905 0.1084 2.8731
Ac 5.8870 -1.2097 3.8589
O 7.5494 -3.4596 3.8490
Cd 5.1089 -0.5357 -0.2024
Cd 0.0000 0.0000 0.0000
O 2.2003 -4.5557 2.3073
Pb 2.8117 1.4795 1.7664
O 7.7007 -1.2159 1.7291
Ac 7.4365 -3.6184 1.4203
Ac 4.0139 -4.5619 0.1775
O -0.1584 -2.3501 2.2206
O 5.8105 -5.8801 1.1633
Pb 2.2972 -2.0152 -1.9688
O 4.9505 -2.8858 2.0182
Ac 2.4644 -2.1533 2.6161
```

Values from the calculation:
SG	P4/mbm
E_form (uncorrected)	-1.87	eV per atom
uncorrected energy	-108.9	eV/cell

---

# 9
VASP calculation (PBE) on a relaxed structure of AcCdPbO.

The structure in extended XYZ format:
```
8
Lattice="4.5177 0.0000 0.0000 0.0000 4.5177 0.0000 0.0000 0.0000 10.6055" Properties=species:S:1:pos:R:3 pbc="T T T"
O 0.0000 0.0000 5.3027
O 2.2588 2.2588 5.3027
Pb 2.2588 2.2588 0.0000
Pb 0.0000 0.0000 0.0000
Ac 0.0000 2.2588 4.1806
Cd 2.2588 0.0000 2.2672
Ac 2.2588 0.0000 6.4248
Cd 0.0000 2.2588 8.3382
```

Values from the calculation:
SG	P4/nmm
E_form (uncorrected)	-1.45	eV per atom
uncorrected energy	-39.0	eV/cell

---

# 10
VASP calculation (PBE) on a relaxed structure of AcCd2PbO6.

The structure in extended XYZ format:
```
10
Lattice="-5.0119 -1.4096 2.7790 0.0669 -1.2032 5.7766 -2.4809 4.1788 3.9140" Properties=species:S:1:pos:R:3 pbc="T T T"
Pb -1.6944 -0.5920 2.9103
O -5.2371 -1.0351 7.0256
O -3.7295 1.7851 8.1123
Cd -3.6419 0.3526 6.1443
O -3.6091 -0.1106 3.9010
O -5.4221 1.9853 5.8327
O -1.6461 -0.4282 6.9525
O -2.6332 2.4970 5.5838
Ac -5.4433 0.4096 9.1913
Cd -2.4372 3.9141 3.8583
```

Values from the calculation:
SG	R3
E_form (uncorrected)	-1.43	eV per atom
uncorrected energy	-53.7	eV/cell

---

# 11
VASP calculation (PBE) on a relaxed structure of Ac2CdPdO5.

The structure in extended XYZ format:
```
18
Lattice="-4.5666 -3.0392 1.8330 3.6579 -6.1157 -1.0272 2.4780 0.3483 6.7509" Properties=species:S:1:pos:R:3 pbc="T T T"
Pd 1.8289 -3.0578 -0.5136
Cd 0.0000 0.0000 0.0000
Ac -0.8387 -2.4718 2.9367
Cd 3.0680 -2.8837 2.8619
O 3.3683 -4.3527 5.5880
Ac 2.4080 -6.3349 4.6201
O 1.0106 -5.9218 6.5343
O 2.9305 -5.8664 1.9875
O 0.9965 -1.3711 4.6229
O 0.5728 -7.4355 2.9339
Ac 0.6148 -5.5824 1.4003
O -1.3611 -2.9402 5.5692
O -1.7989 -4.4539 1.9688
Pd 1.2390 0.1741 3.3755
O 0.7847 -4.4033 3.7784
O 0.5587 -2.8848 1.0224
O -2.2833 -1.5196 0.9165
Ac 0.9545 -3.2242 6.1565
```

Values from the calculation:
SG	P4/mbm
E_form (uncorrected)	-1.95	eV per atom
uncorrected energy	-113.4	eV/cell

---

# 12
VASP calculation (PBE) on a relaxed structure of Ac2CdPdO6.

The structure in extended XYZ format:
```
20
Lattice="-2.9506 -4.8011 -1.4699 0.1263 -1.8525 5.7975 -7.1269 3.9898 1.4301" Properties=species:S:1:pos:R:3 pbc="T T T"
O -5.9477 -1.5825 1.4203
Cd -1.4753 -2.4006 -0.7349
O -5.6790 1.7180 3.6368
O -4.2722 -4.3819 2.1210
O -6.3064 -0.7782 6.0489
O -3.6448 -1.8856 -0.2911
Pd 0.0631 -0.9263 2.8988
Ac -3.1535 -2.1548 2.2050
O -6.1214 -3.0978 4.3329
Ac -1.7104 -0.8145 5.7980
O -9.0344 -1.6020 4.6774
O -3.8298 0.4340 1.4249
O -1.0983 -2.4631 3.6358
Ac -6.7977 -0.5090 3.5528
Cd -3.5003 1.0686 3.6138
O -4.0035 -1.0814 4.3375
O -0.9168 -1.0619 1.0804
Ac -8.2408 -1.8494 -0.0402
O -8.8529 -0.2008 2.1220
Pd -5.0387 -0.4057 -0.0199
```

Values from the calculation:
SG	P2_1/c
E_form (uncorrected)	-2.06	eV per atom
uncorrected energy	-129.3	eV/cell

---

# 13
VASP calculation (PBE) on a relaxed structure of AcCdPdO.

The structure in extended XYZ format:
```
8
Lattice="4.3596 0.0000 0.0000 0.0000 4.3596 0.0000 0.0000 0.0000 9.3122" Properties=species:S:1:pos:R:3 pbc="T T T"
Pd 2.1798 0.0000 6.3511
Pd 0.0000 2.1798 2.9610
O 0.0000 0.0000 0.0000
Cd 0.0000 0.0000 4.6561
Cd 2.1798 2.1798 4.6561
Ac 2.1798 0.0000 1.2263
O 2.1798 2.1798 0.0000
Ac 0.0000 2.1798 8.0858
```

Values from the calculation:
SG	P4/nmm
E_form (uncorrected)	-1.61	eV per atom
uncorrected energy	-43.2	eV/cell

---

# 14
VASP calculation (PBE) on a relaxed structure of Ac2CdPd2O6.

The structure in extended XYZ format:
```
11
Lattice="6.0866 0.0000 0.0000 3.0433 5.2711 0.0000 3.0433 1.7570 5.6990" Properties=species:S:1:pos:R:3 pbc="T T T"
O 4.3725 2.5245 4.0110
O 6.0866 1.5349 1.6880
O 7.8006 4.5037 1.6880
Ac 9.1299 5.2711 3.6507
O 7.8006 2.5245 4.0110
Cd 0.0000 0.0000 0.0000
Pd 6.0866 3.5141 1.3707
O 4.3725 4.5037 1.6880
O 6.0866 5.4933 4.0110
Pd 6.0866 3.5141 4.3283
Ac 3.0433 1.7570 2.0483
```

Values from the calculation:
SG	R-3m
E_form (uncorrected)	-1.40	eV per atom
uncorrected energy	-64.7	eV/cell

---

# 15
VASP calculation (PBE) on a relaxed structure of Ac2PmCdO6.

The structure in extended XYZ format:
```
10
Lattice="-0.8998 1.1270 -6.0298 -5.7591 0.2393 -2.2833 -2.3969 5.5756 -1.7878" Properties=species:S:1:pos:R:3 pbc="T T T"
O -3.0696 5.0309 -5.7145
O -5.0014 2.6896 -7.5861
Pm -6.7611 4.3169 -7.7465
O -4.5071 4.4693 -3.0495
Ac -2.3789 5.0561 -1.8876
O -2.2009 2.2043 -4.5556
O -6.2560 1.9005 -3.7046
O -6.1453 4.9061 -5.6203
Cd -2.2317 0.8039 -2.7041
Ac -4.5100 2.9542 -5.1497
```

Values from the calculation:
SG	R3
E_form (uncorrected)	-2.61	eV per atom
uncorrected energy	-69.7	eV/cell

---

# 16
VASP calculation (PBE) on a relaxed structure of Ac2PrCdO6.

The structure in extended XYZ format:
```
10
Lattice="6.2340 0.0001 0.0002 3.1170 5.3987 0.0001 3.1169 1.7997 5.2679" Properties=species:S:1:pos:R:3 pbc="T T T"
O 5.1911 1.4520 1.3754
Ac 3.1169 1.7997 4.7656
Ac 6.2340 3.5993 2.1200
O 7.2467 5.0554 3.9964
O 6.9885 1.9941 3.9967
O 4.4665 3.7484 3.9965
Cd 3.1170 1.7996 0.3596
Pr 9.3509 5.3989 3.0602
O 8.6150 3.7697 1.3756
O 4.8958 5.5759 1.3753
```

Values from the calculation:
SG	R3
E_form (uncorrected)	-2.57	eV per atom
uncorrected energy	-69.4	eV/cell

---

# 17
VASP calculation (PBE) on a relaxed structure of AcCdPtO4.

The structure in extended XYZ format:
```
14
Lattice="6.2918 0.0000 0.0000 -3.1459 6.3757 -0.6728 0.0000 -4.0396 6.6432" Properties=species:S:1:pos:R:3 pbc="T T T"
O 3.1459 0.4616 4.0209
O 3.1459 1.7625 1.8813
O 4.4656 -2.2067 5.4828
O 1.8262 -2.2067 5.4828
Pt -1.5729 1.1681 2.9852
O 0.0000 1.8746 1.9495
O 0.0000 0.5736 4.0890
O 1.3197 4.5428 0.4875
Ac 3.1459 0.0000 0.0000
Pt 1.5729 1.1681 2.9852
Ac 3.1459 -2.0198 3.3216
O -1.3197 4.5428 0.4875
Cd 3.1459 3.5541 -0.1137
Cd 0.0000 -1.2179 6.0841
```

Values from the calculation:
SG	Imma
E_form (uncorrected)	-1.51	eV per atom
uncorrected energy	-83.0	eV/cell

---

# 18
VASP calculation (PBE) on a relaxed structure of Ac2CdPtO5.

The structure in extended XYZ format:
```
18
Lattice="-0.9391 3.7887 -4.2050 1.8474 -5.0318 -4.9462 -6.9540 -2.1636 -0.3963" Properties=species:S:1:pos:R:3 pbc="T T T"
Cd 0.0000 0.0000 0.0000
O -4.8880 0.7916 -4.1087
Ac -0.4486 -1.8935 -5.5200
O -1.6374 -2.2630 -7.5868
Ac -5.5971 -1.5132 -4.0275
O -0.4696 1.8943 -2.1025
Cd -2.5533 -3.5977 -2.6713
Ac -3.6550 -3.7122 -6.4426
O -5.5305 -2.2116 -6.6710
Pt -3.4770 -1.0818 -0.1982
O -0.9949 0.7402 -5.0245
Pt 0.9237 -2.5159 -2.4731
Ac -2.3907 0.3055 -3.1050
O -0.5152 -1.1951 -2.8765
O -3.0228 -1.7033 -4.7738
O -4.4083 -1.1437 -1.9607
O -1.1577 -4.1983 -5.4389
O -5.0508 -4.1469 -4.5231
```

Values from the calculation:
SG	P4/mbm
E_form (uncorrected)	-1.97	eV per atom
uncorrected energy	-115.3	eV/cell

---

# 19
VASP calculation (PBE) on a relaxed structure of AcCdPtO6.

The structure in extended XYZ format:
```
18
Lattice="-2.8260 4.8042 2.2337 1.8629 -4.3663 3.6770 7.0992 3.7679 0.8776" Properties=species:S:1:pos:R:3 pbc="T T T"
O 3.9004 2.3023 4.3902
Cd 0.0000 0.0000 0.0000
Pt 0.5118 2.6893 2.9342
O 2.2358 1.9034 2.3981
O 0.0464 1.0137 3.8577
O 1.2271 3.2740 4.6731
O 5.1940 -0.2078 4.7021
Ac 4.0614 4.5733 3.3730
O 7.3567 0.6941 3.4069
O 6.2961 2.1862 5.5796
O 6.0898 3.1920 2.9306
O 0.9421 4.4135 2.0862
O -0.1600 2.0196 1.2087
Cd 3.5496 1.8839 0.4388
O -1.2205 3.5117 3.3814
O 4.9090 0.9317 2.1152
Ac 2.0747 -0.3675 3.4153
Pt 5.6243 1.5164 3.8541
```

Values from the calculation:
SG	P-31c
E_form (uncorrected)	-1.15	eV per atom
uncorrected energy	-102.4	eV/cell

---

# 20
VASP calculation (PBE) on a relaxed structure of Ac2PuCdO6.

The structure in extended XYZ format:
```
10
Lattice="-3.1543 -3.9624 2.3593 3.6739 -3.9262 -1.6821 2.8509 0.6017 4.8221" Properties=species:S:1:pos:R:3 pbc="T T T"
Pu -1.8422 -2.3141 1.3779
Ac 1.3889 0.2550 2.4384
O -0.7294 -3.7351 2.5079
O 0.7264 -3.4279 4.9703
O 2.7554 -2.2991 1.9492
O 1.1467 -5.7400 1.6489
O -0.5762 -0.7238 0.4310
Cd 1.5378 -3.8286 2.8599
O 2.6025 -5.4328 4.1113
Ac 1.8004 -2.0090 -0.8137
```

Values from the calculation:
SG	P4mm
E_form (uncorrected)	-2.61	eV per atom
uncorrected energy	-79.3	eV/cell